VASP calculation (PBE-GGA) on crystalline As2PbBr at its relaxed geometry.

Unit cell a=4.854 b=4.854 c=8.004 alpha=72.33 beta=72.33 gamma=45.31
Fractional coordinates of all 4 atoms:
As: 0.052 0.052 0.960
Br: 0.487 0.487 0.459
As: 0.742 0.742 0.859
Pb: 0.218 0.218 0.223

Properties
ΔE_f (raw): -3.89 kcal/mol of atoms
Polymorph energy (0 for the lowest one): 36 meV per atom
Space group: Cm
Calculated density: 5.73 g/cm3



VASP calculation (PBE-GGA) on crystalline As2PbBr at its relaxed geometry.

Unit cell a=4.125 b=4.125 c=9.794 alpha=90.00 beta=90.00 gamma=126.38
Fractional coordinates of all 4 atoms:
Pb: 0.500 0.500 0.762
As: 0.000 0.000 0.021
As: 0.500 0.500 0.178
Br: 0.000 0.000 0.539

Properties
ΔE_f (raw): 0.74 kcal/mol of atoms
Polymorph energy (0 for the lowest one): 237 meV per atom
Space group: Cmm2
Calculated density: 5.41 g/cm3